(1)
This record from Alexandria via LeMat-Bulk describes Ta4Ru5 at its PBEsol-relaxed geometry. The functional is SCAN.

Calculated values
magnetization	0.0	Bohr magnetons per cell
total DFT energy (no corrections)	-49.247	eV per atom
crystal system	tetragonal

Structure (POSCAR):
```
Ta4Ru5
1.0
3.9324 0.0000 0.0000
1.9662 5.9071 0.0000
1.9662 0.0000 5.9071
Ta Ru
4 5
direct
0.3117 0.6883 0.6883
0.0000 0.3117 0.6883
0.6883 0.3117 0.3117
0.0000 0.6883 0.3117
0.3357 0.0000 0.3286
0.0000 0.0000 0.0000
0.6643 0.6714 0.0000
0.3357 0.3286 0.0000
0.6643 0.0000 0.6714
```

***

(2)
This record from Alexandria via LeMat-Bulk describes TaRu5 at its PBEsol-relaxed geometry. The functional is SCAN.

Calculated values
magnetization	0.0	Bohr magnetons per cell
total DFT energy (no corrections)	-40.192	eV per atom
crystal system	orthorhombic

Structure (POSCAR):
```
TaRu5
1.0
-2.1503 1.6778 0.3156
-0.8793 -1.8399 3.7907
5.2379 3.8832 3.0998
Ru Ta
5 1
direct
0.3316 0.0000 0.6633
0.2165 0.5000 0.4329
0.6685 0.0000 0.3369
0.5583 0.5000 0.1167
0.0029 0.0000 0.0059
0.8888 0.5000 0.7777
```